No. 1
LiCaCuNi: relaxed, PBE.

Cell and atoms, written as extended XYZ:
```
4
Lattice="4.518 0.000 0.000 2.259 3.913 0.000 2.259 1.304 3.689" Properties=species:S:1:pos:R:3 pbc="T T T"
Ni 0.000 0.000 0.000
Cu 2.259 1.304 0.922
Li 4.518 2.609 1.845
Ca 6.778 3.913 2.767
```

Properties
DFT formation energy: 0.0568 eV per atom


No. 2
LiCa2CuNi: relaxed, PBE.

Cell and atoms, written as extended XYZ:
```
5
Lattice="-2.595 4.376 2.046 -3.693 -2.407 0.463 1.569 -1.434 5.056" Properties=species:S:1:pos:R:3 pbc="T T T"
Ca -1.298 2.188 1.023
Cu 0.000 0.000 0.000
Ca 0.784 -0.717 2.528
Li -2.360 0.268 3.783
Ni -1.847 -1.203 0.232
```

Properties
DFT formation energy: 0.2063 eV per atom